No. 1
PrPaTlHg | Alexandria | GGA-PBE | relaxed; ΔE_f = 0.12 eV per formula unit; uncorrected energy = -4.207 eV per atom; space-group type = F-43m
1.0
0.000 3.842 3.842
3.842 0.000 3.842
3.842 3.842 0.000
Pr Pa Tl Hg
1 1 1 1
Direct
0.000 0.000 0.000 Pr
0.500 0.500 0.500 Pa
0.250 0.250 0.250 Tl
0.750 0.750 0.750 Hg

***

No. 2
LaSc2H2 | Alexandria | GGA-PBE | relaxed; uncorrected energy = -4.930 eV per atom; space-group type = P4/mbm; polymorph energy (0 for the lowest one) = 0.0 meV/atom
1.0
6.681 0.000 0.000
0.000 6.681 0.000
0.000 0.000 4.222
La Sc H
2 4 4
Direct
0.000 0.000 0.000 La
0.500 0.500 0.000 La
0.164 0.336 0.500 Sc
0.336 0.836 0.500 Sc
0.664 0.164 0.500 Sc
0.836 0.664 0.500 Sc
0.186 0.314 0.000 H
0.314 0.814 0.000 H
0.686 0.186 0.000 H
0.814 0.686 0.000 H

***

No. 3
Y6AlGa2 | Alexandria | GGA-PBE | relaxed; ΔE_f = -3.85 eV per formula unit; uncorrected energy = -5.826 eV per atom; space-group type = Immm
1.0
-4.814 4.827 5.264
4.814 -4.827 5.264
4.814 4.827 -5.264
Y Al Ga
12 2 4
Direct
0.025 0.822 0.203 Y
0.241 0.545 0.304 Y
0.241 0.938 0.696 Y
0.274 0.320 0.593 Y
0.274 0.680 0.954 Y
0.381 0.178 0.203 Y
0.619 0.822 0.797 Y
0.726 0.320 0.046 Y
0.726 0.680 0.407 Y
0.759 0.062 0.304 Y
0.759 0.455 0.696 Y
0.975 0.178 0.797 Y
0.000 0.500 0.500 Al
0.500 0.000 0.500 Al
0.000 0.151 0.151 Ga
0.000 0.849 0.849 Ga
0.379 0.379 0.000 Ga
0.621 0.621 0.000 Ga

***

No. 4
Li2CdRuC | Alexandria | GGA-PBE | relaxed; ΔE_f = 0.45 eV per formula unit; uncorrected energy = -4.558 eV per atom; space-group type = P4/mmm
1.0
4.136 0.000 0.000
0.000 4.136 0.000
0.000 0.000 3.941
Li Cd Ru C
2 1 1 1
Direct
0.000 0.500 0.000 Li
0.500 0.000 0.000 Li
0.000 0.000 0.500 Cd
0.500 0.500 0.500 Ru
0.500 0.500 0.000 C

***

No. 5
Pm7Dy4Ho | Alexandria | GGA-PBE | relaxed; ΔE_f = 0.07 eV per formula unit; uncorrected energy = -4.681 eV per atom; space-group type = P-1; polymorph energy (0 for the lowest one) = 0.0 meV/atom
1.0
6.301 0.000 0.000
-0.005 7.267 0.000
-2.116 -0.003 8.714
Pm Dy Ho
7 4 1
Direct
0.000 0.000 0.000 Pm
0.221 0.500 0.666 Pm
0.280 0.751 0.334 Pm
0.500 0.248 0.001 Pm
0.500 0.752 0.999 Pm
0.720 0.249 0.666 Pm
0.779 0.500 0.334 Pm
0.220 0.000 0.666 Dy
0.278 0.249 0.332 Dy
0.722 0.751 0.668 Dy
0.780 0.000 0.334 Dy
0.000 0.500 0.000 Ho

***

No. 6
VCrTcRh | Alexandria | GGA-PBE | relaxed; ΔE_f = -0.47 eV per formula unit; uncorrected energy = -9.233 eV per atom; space-group type = F-43m
1.0
0.000 3.021 3.021
3.021 0.000 3.021
3.021 3.021 0.000
V Cr Tc Rh
1 1 1 1
Direct
0.000 0.000 0.000 V
0.500 0.500 0.500 Cr
0.750 0.750 0.750 Tc
0.250 0.250 0.250 Rh

***

No. 7
Ce3Ge3Rh2 | Alexandria | GGA-PBE | relaxed; ΔE_f = -6.66 eV per formula unit; uncorrected energy = -6.627 eV per atom; space-group type = Pnma
1.0
7.990 0.000 0.000
0.000 14.710 0.000
0.000 0.000 5.755
Ce Ge Rh
12 12 8
Direct
0.036 0.107 0.124 Ce
0.036 0.393 0.124 Ce
0.175 0.250 0.633 Ce
0.325 0.750 0.133 Ce
0.464 0.607 0.624 Ce
0.464 0.893 0.624 Ce
0.536 0.107 0.376 Ce
0.536 0.393 0.376 Ce
0.675 0.250 0.867 Ce
0.825 0.750 0.367 Ce
0.964 0.607 0.876 Ce
0.964 0.893 0.876 Ce
0.180 0.750 0.626 Ge
0.189 0.038 0.610 Ge
0.189 0.462 0.610 Ge
0.311 0.538 0.110 Ge
0.311 0.962 0.110 Ge
0.320 0.250 0.126 Ge
0.680 0.750 0.874 Ge
0.689 0.038 0.890 Ge
0.689 0.462 0.890 Ge
0.811 0.538 0.390 Ge
0.811 0.962 0.390 Ge
0.820 0.250 0.374 Ge
0.097 0.609 0.378 Rh
0.097 0.891 0.378 Rh
0.403 0.109 0.878 Rh
0.403 0.391 0.878 Rh
0.597 0.609 0.122 Rh
0.597 0.891 0.122 Rh
0.903 0.109 0.622 Rh
0.903 0.391 0.622 Rh

***

No. 8
CsN3Cl | Alexandria | GGA-PBE | relaxed; uncorrected energy = -3.072 eV per atom; space-group type = Pm-3m; formation energy from raw total energies = 12.32 eV per formula unit
1.0
4.434 0.000 0.000
0.000 4.434 0.000
0.000 0.000 4.434
Cs N Cl
1 3 1
Direct
0.000 0.000 0.000 Cs
0.000 0.500 0.500 N
0.500 0.000 0.500 N
0.500 0.500 0.000 N
0.500 0.500 0.500 Cl

***

> Which value of uncorrected energy does entry 3 give?

-5.826 eV per atom